(1)
{
  "formula": "Gd2Ga2O5",
  "functional": "PBE-GGA",
  "state": "optimized geometry",
  "total_energy_ev_per_atom": -6.4864,
  "spacegroup": "P4/mmm, No. 123",
  "lattice_angstrom": [[3.918, 0.000, 0.000], [0.000, 3.918, 0.000], [0.000, 0.000, 8.845]],
  "species": ["Gd", "Gd", "Ga", "Ga", "O", "O", "O", "O", "O"],
  "fractional_positions": [[0.000, 0.000, 0.245], [0.000, 0.000, 0.755], [0.500, 0.500, 0.000], [0.500, 0.500, 0.500], [0.000, 0.000, 0.500], [0.000, 0.500, 0.140], [0.000, 0.500, 0.860], [0.500, 0.000, 0.140], [0.500, 0.000, 0.860]]
}

(2)
{
  "formula": "GdGaPO",
  "functional": "PBE-GGA",
  "state": "optimized geometry",
  "total_energy_ev_per_atom": -5.9999,
  "spacegroup": "Pmc2_1, No. 26",
  "lattice_angstrom": [[4.634, 0.000, 0.000], [0.000, 5.800, 0.000], [0.000, 0.000, 5.681]],
  "species": ["Gd", "Gd", "Ga", "Ga", "P", "P", "O", "O"],
  "fractional_positions": [[0.000, 0.247, 0.000], [0.000, 0.753, 0.500], [0.500, 0.172, 0.581], [0.500, 0.828, 0.081], [0.000, 0.262, 0.501], [0.000, 0.738, 0.001], [0.500, 0.163, 0.956], [0.500, 0.837, 0.456]]
}

(3)
{
  "formula": "GdGaPO",
  "functional": "PBE-GGA",
  "state": "optimized geometry",
  "total_energy_ev_per_atom": -6.1285,
  "spacegroup": "P4/nmm, No. 129",
  "lattice_angstrom": [[4.194, 0.000, 0.000], [0.000, 4.194, 0.000], [0.000, 0.000, 7.897]],
  "species": ["Gd", "Gd", "Ga", "Ga", "P", "P", "O", "O"],
  "fractional_positions": [[0.250, 0.250, 0.123], [0.750, 0.750, 0.877], [0.250, 0.750, 0.500], [0.750, 0.250, 0.500], [0.250, 0.250, 0.666], [0.750, 0.750, 0.334], [0.250, 0.750, 0.000], [0.750, 0.250, 0.000]]
}

(4)
{
  "formula": "GdGaPO",
  "functional": "PBE-GGA",
  "state": "optimized geometry",
  "total_energy_ev_per_atom": -5.2038,
  "spacegroup": "P4/nmm, No. 129",
  "lattice_angstrom": [[4.301, 0.000, 0.000], [0.000, 4.301, 0.000], [0.000, 0.000, 9.162]],
  "species": ["Gd", "Gd", "Ga", "Ga", "P", "P", "O", "O"],
  "fractional_positions": [[0.250, 0.750, 0.000], [0.750, 0.250, 0.000], [0.250, 0.250, 0.446], [0.750, 0.750, 0.554], [0.250, 0.250, 0.187], [0.750, 0.750, 0.813], [0.250, 0.750, 0.500], [0.750, 0.250, 0.500]]
}